Record 1
Entry from Alexandria via LeMat-Bulk: a relaxed In12Hg6Te crystal (PBE-GGA).

Results
* formation energy from raw total energies: 0.009 eV/atom

Lattice parameters (Å, degrees): 9.844 9.280 8.891 116.57 98.01 121.72
Element x y z (fractional)
In (0.273, 0.016, 0.253)
In (0.444, 0.128, 0.815)
In (0.968, 0.657, 0.653)
In (0.071, 0.889, 0.472)
In (0.929, 0.111, 0.528)
In (0.556, 0.872, 0.185)
In (0.266, 0.332, 0.937)
In (0.112, 0.553, 0.903)
In (0.888, 0.447, 0.097)
In (0.727, 0.984, 0.747)
In (0.734, 0.668, 0.063)
In (0.032, 0.343, 0.347)
Hg (0.376, 0.750, 0.774)
Hg (0.439, 0.436, 0.641)
Hg (0.561, 0.564, 0.359)
Hg (0.624, 0.250, 0.226)
Hg (0.329, 0.732, 0.374)
Hg (0.671, 0.268, 0.626)
Te (0.000, 0.000, 0.000)

Record 2
Entry from Alexandria via LeMat-Bulk: a relaxed Ho2SbSe4 crystal (PBE-GGA).

Results
* formation energy from raw total energies: -1.251 eV/atom

Lattice parameters (Å, degrees): 4.006 7.177 8.129 113.40 104.26 90.00
Element x y z (fractional)
Se (0.357, 0.688, 0.714)
Se (0.868, 0.175, 0.736)
Se (0.643, 0.312, 0.286)
Se (0.132, 0.825, 0.264)
Ho (0.739, 0.746, 0.478)
Ho (0.261, 0.254, 0.522)
Sb (0.000, 0.000, 0.000)

Record 3
Entry from Alexandria via LeMat-Bulk: a relaxed NbBiPb2 crystal (PBE-GGA).

Results
* ΔE_f: 626 meV/atom

Lattice parameters (Å, degrees): 3.287 3.287 12.263 82.30 82.30 60.00
Element x y z (fractional)
Nb (0.000, 0.000, 0.000)
Bi (0.500, 0.500, 0.500)
Pb (0.081, 0.081, 0.758)
Pb (0.919, 0.919, 0.242)

Record 4
Entry from Alexandria via LeMat-Bulk: a relaxed Ga3SiPb crystal (PBE-GGA).

Results
* energy above the lowest structure with this stoichiometry: 0 meV/atom
* formation energy from raw total energies: 0.303 eV/atom

Lattice parameters (Å, degrees): 4.898 4.898 4.898 90.00 90.00 90.00
Element x y z (fractional)
Ga (0.500, 0.000, 0.000)
Ga (0.000, 0.500, 0.000)
Ga (0.000, 0.000, 0.500)
Pb (0.500, 0.500, 0.500)
Si (0.000, 0.000, 0.000)

Record 5
Entry from Alexandria via LeMat-Bulk: a relaxed CuAg2Ru2 crystal (PBE-GGA).

Results
* ΔE_f: 1000 meV/atom
* energy above the lowest structure with this stoichiometry: 249 meV/atom

Lattice parameters (Å, degrees): 3.666 3.666 6.958 74.73 74.73 90.00
Element x y z (fractional)
Ag (0.750, 0.250, 0.500)
Ag (0.250, 0.750, 0.500)
Ru (0.588, 0.588, 0.825)
Ru (0.412, 0.412, 0.175)
Cu (0.000, 0.000, 0.000)

Record 6
Entry from Alexandria via LeMat-Bulk: a relaxed La2Pr4SmTl2 crystal (PBE-GGA).

Results
* ΔE_f: -96 meV/atom

Lattice parameters (Å, degrees): 6.507 8.479 6.951 113.24 117.84 80.35
Element x y z (fractional)
Tl (0.863, 0.399, 0.053)
Tl (0.137, 0.601, 0.947)
Pr (0.395, 0.234, 0.986)
Pr (0.695, 0.624, 0.467)
Pr (0.305, 0.376, 0.533)
Pr (0.605, 0.766, 0.014)
La (0.190, 0.826, 0.484)
La (0.810, 0.174, 0.516)
Sm (0.000, 0.000, 0.000)

Record 7
Entry from Alexandria via LeMat-Bulk: a relaxed Ce2NiWN5 crystal (PBE-GGA).

Results
* formation energy from raw total energies: -0.760 eV/atom

Lattice parameters (Å, degrees): 3.250 6.672 10.247 90.00 90.00 104.10
Element x y z (fractional)
Ni (0.473, 0.947, 0.452)
Ni (0.527, 0.053, 0.952)
W (0.802, 0.605, 0.516)
W (0.198, 0.395, 0.016)
N (0.637, 0.275, 0.498)
N (0.718, 0.435, 0.149)
N (0.055, 0.110, 0.064)
N (0.489, 0.977, 0.772)
N (0.321, 0.642, 0.378)
N (0.282, 0.565, 0.649)
N (0.945, 0.890, 0.564)
N (0.511, 0.023, 0.272)
N (0.679, 0.358, 0.878)
N (0.363, 0.725, 0.998)
Ce (0.859, 0.719, 0.809)
Ce (0.141, 0.281, 0.309)
Ce (0.895, 0.791, 0.185)
Ce (0.105, 0.209, 0.685)

Record 8
Entry from Alexandria via LeMat-Bulk: a relaxed Nd3AlCu8 crystal (PBE-GGA).

Results
* ΔE_f: -132 meV/atom

Lattice parameters (Å, degrees): 5.258 5.258 9.076 73.16 73.16 60.00
Element x y z (fractional)
Cu (0.189, 0.189, 0.434)
Cu (0.433, 0.943, 0.192)
Cu (0.938, 0.446, 0.678)
Cu (0.446, 0.938, 0.678)
Cu (0.688, 0.688, 0.937)
Cu (0.433, 0.433, 0.192)
Cu (0.938, 0.938, 0.678)
Cu (0.943, 0.433, 0.192)
Al (0.868, 0.868, 0.396)
Nd (0.504, 0.504, 0.488)
Nd (0.379, 0.379, 0.863)
Nd (0.993, 0.993, 0.021)

- Number 2 is which compound?
  Ho2SbSe4